CuBrCl6: relaxed, GGA-PBE.

```
8
Lattice="4.927 0.000 0.000 2.152 7.104 0.000 0.067 1.341 7.995" Properties=species:S:1:pos:R:3 pbc="T T T"
Cu 0.000 0.000 0.000
Br 2.464 0.000 0.000
Cl 2.242 5.269 1.091
Cl 2.282 5.716 3.910
Cl 2.304 5.838 5.927
Cl 4.842 2.608 2.068
Cl 4.864 2.729 4.084
Cl 4.904 3.176 6.904
```

Calculated values
final energy = -2.1865 eV per atom
ΔE_f (raw) = -0.0803 eV per atom